No. 1
A geometry-optimized Th2MnVN5 structure, computed with GGA-PBE.

Formation energy without anion corrections (eV per atom): -1.15
Crystal system: orthorhombic
Density (Mg/m³): 9.5
Space-group type: Cmc2_1
Electronic total energy (Ry/atom): -0.695

The structure in CIF format:
```
data_Th2MnVN5
_chemical_formula_sum 'Th4 Mn2 V2 N10'
_cell_length_a 3.446
_cell_length_b 7.024
_cell_length_c 9.517
_cell_angle_alpha 90.00
_cell_angle_beta 90.00
_cell_angle_gamma 104.20
_symmetry_space_group_name_H-M 'P 1'
_symmetry_Int_Tables_number 1
_symmetry_space_group_name_Hall 'P 1'
loop_
_atom_site_label
_atom_site_type_symbol
_atom_site_fract_x
_atom_site_fract_y
_atom_site_fract_z
_atom_site_occupancy
N1 N 0.695 0.391 0.872 1
N2 N 0.347 0.694 0.005 1
N3 N 0.950 0.900 0.546 1
N4 N 0.696 0.392 0.145 1
N5 N 0.510 0.019 0.798 1
N6 N 0.305 0.609 0.372 1
N7 N 0.050 0.100 0.046 1
N8 N 0.653 0.306 0.505 1
N9 N 0.304 0.608 0.645 1
N10 N 0.490 0.981 0.298 1
Th1 Th 0.872 0.743 0.803 1
Th2 Th 0.128 0.257 0.303 1
Th3 Th 0.869 0.737 0.183 1
Th4 Th 0.131 0.263 0.683 1
V1 V 0.570 0.140 0.968 1
V2 V 0.430 0.860 0.468 1
Mn1 Mn 0.201 0.403 0.005 1
Mn2 Mn 0.799 0.597 0.505 1
```

=====

No. 2
A geometry-optimized Th2MnWN6 structure, computed with GGA-PBE.

Formation energy without anion corrections (eV per atom): -1.02
Crystal system: monoclinic
Density (Mg/m³): 10.8
Space-group type: P2_1/c
Electronic total energy (Ry/atom): -0.714

The structure in CIF format:
```
data_Th2MnWN6
_chemical_formula_sum 'Th4 Mn2 W2 N12'
_cell_length_a 5.552
_cell_length_b 5.570
_cell_length_c 7.840
_cell_angle_alpha 90.00
_cell_angle_beta 90.09
_cell_angle_gamma 90.00
_symmetry_space_group_name_H-M 'P 1'
_symmetry_Int_Tables_number 1
_symmetry_space_group_name_Hall 'P 1'
loop_
_atom_site_label
_atom_site_type_symbol
_atom_site_fract_x
_atom_site_fract_y
_atom_site_fract_z
_atom_site_occupancy
N1 N 0.071 0.486 0.748 1
N2 N 0.294 0.709 0.036 1
N3 N 0.794 0.791 0.536 1
N4 N 0.706 0.291 0.964 1
N5 N 0.210 0.205 0.038 1
N6 N 0.710 0.295 0.538 1
N7 N 0.571 0.014 0.248 1
N8 N 0.290 0.705 0.462 1
N9 N 0.790 0.795 0.962 1
N10 N 0.929 0.514 0.252 1
N11 N 0.429 0.986 0.752 1
N12 N 0.206 0.209 0.464 1
W1 W 0.000 0.500 0.000 1
W2 W 0.500 0.000 0.500 1
Th1 Th 0.003 0.962 0.251 1
Th2 Th 0.497 0.462 0.249 1
Th3 Th 0.997 0.038 0.749 1
Th4 Th 0.503 0.538 0.751 1
Mn1 Mn 0.000 0.500 0.500 1
Mn2 Mn 0.500 0.000 0.000 1
```

=====

No. 3
A geometry-optimized YTh2MnN5 structure, computed with GGA-PBE.

Formation energy without anion corrections (eV per atom): -0.98
Crystal system: tetragonal
Density (Mg/m³): 8.7
Space-group type: P4/mbm
Electronic total energy (Ry/atom): -0.661

The structure in CIF format:
```
data_YTh2MnN5
_chemical_formula_sum 'Y2 Th4 Mn2 N10'
_cell_length_a 5.703
_cell_length_b 6.721
_cell_length_c 6.721
_cell_angle_alpha 90.00
_cell_angle_beta 90.00
_cell_angle_gamma 90.00
_symmetry_space_group_name_H-M 'P 1'
_symmetry_Int_Tables_number 1
_symmetry_space_group_name_Hall 'P 1'
loop_
_atom_site_label
_atom_site_type_symbol
_atom_site_fract_x
_atom_site_fract_y
_atom_site_fract_z
_atom_site_occupancy
N1 N 0.774 0.359 0.141 1
N2 N 0.226 0.641 0.859 1
N3 N 0.500 0.500 0.500 1
N4 N 0.500 0.000 0.000 1
N5 N 0.226 0.359 0.141 1
N6 N 0.774 0.859 0.359 1
N7 N 0.774 0.641 0.859 1
N8 N 0.226 0.859 0.359 1
N9 N 0.226 0.141 0.641 1
N10 N 0.774 0.141 0.641 1
Mn1 Mn 0.000 0.500 0.000 1
Mn2 Mn 0.000 0.000 0.500 1
Th1 Th 0.500 0.171 0.329 1
Th2 Th 0.500 0.329 0.829 1
Th3 Th 0.500 0.829 0.671 1
Th4 Th 0.500 0.671 0.171 1
Y1 Y 0.000 0.500 0.500 1
Y2 Y 0.000 0.000 0.000 1
```

=====

No. 4
A geometry-optimized Th2ZrMnN5 structure, computed with GGA-PBE.

Formation energy without anion corrections (eV per atom): -0.79
Crystal system: tetragonal
Density (Mg/m³): 9.0
Space-group type: P4/mbm
Electronic total energy (Ry/atom): -0.664

The structure in CIF format:
```
data_Th2ZrMnN5
_chemical_formula_sum 'Th4 Zr2 Mn2 N10'
_cell_length_a 5.784
_cell_length_b 6.577
_cell_length_c 6.577
_cell_angle_alpha 90.00
_cell_angle_beta 90.00
_cell_angle_gamma 90.00
_symmetry_space_group_name_H-M 'P 1'
_symmetry_Int_Tables_number 1
_symmetry_space_group_name_Hall 'P 1'
loop_
_atom_site_label
_atom_site_type_symbol
_atom_site_fract_x
_atom_site_fract_y
_atom_site_fract_z
_atom_site_occupancy
Th1 Th 0.500 0.668 0.168 1
Th2 Th 0.500 0.832 0.668 1
Th3 Th 0.500 0.332 0.832 1
Th4 Th 0.500 0.168 0.332 1
Zr1 Zr 0.000 0.000 0.000 1
Zr2 Zr 0.000 0.500 0.500 1
N1 N 0.780 0.154 0.654 1
N2 N 0.220 0.654 0.846 1
N3 N 0.220 0.154 0.654 1
N4 N 0.500 0.000 0.000 1
N5 N 0.780 0.654 0.846 1
N6 N 0.780 0.346 0.154 1
N7 N 0.220 0.346 0.154 1
N8 N 0.500 0.500 0.500 1
N9 N 0.780 0.846 0.346 1
N10 N 0.220 0.846 0.346 1
Mn1 Mn 0.000 0.000 0.500 1
Mn2 Mn 0.000 0.500 0.000 1
```

=====

No. 5
A geometry-optimized TiMn3N structure, computed with GGA-PBE.

Formation energy without anion corrections (eV per atom): 2.61
Crystal system: cubic
Density (Mg/m³): 5.0
Space-group type: Pm-3m
Electronic total energy (Ry/atom): -0.451

The structure in CIF format:
```
data_TiMn3N
_chemical_formula_sum 'Ti1 Mn3 N1'
_cell_length_a 4.228
_cell_length_b 4.228
_cell_length_c 4.228
_cell_angle_alpha 90.00
_cell_angle_beta 90.00
_cell_angle_gamma 90.00
_symmetry_space_group_name_H-M 'P 1'
_symmetry_Int_Tables_number 1
_symmetry_space_group_name_Hall 'P 1'
loop_
_atom_site_label
_atom_site_type_symbol
_atom_site_fract_x
_atom_site_fract_y
_atom_site_fract_z
_atom_site_occupancy
Mn1 Mn 0.000 0.500 0.000 1
Mn2 Mn 0.000 0.000 0.500 1
Mn3 Mn 0.500 0.000 0.000 1
N1 N 0.500 0.500 0.500 1
Ti1 Ti 0.000 0.000 0.000 1
```

=====

No. 6
A geometry-optimized Ti5MnN6 structure, computed with GGA-PBE.

Formation energy without anion corrections (eV per atom): -1.44
Crystal system: monoclinic
Density (Mg/m³): 5.4
Space-group type: C2/m
Electronic total energy (Ry/atom): -0.710

The structure in CIF format:
```
data_Ti5MnN6
_chemical_formula_sum 'Ti5 Mn1 N6'
_cell_length_a 5.208
_cell_length_b 5.213
_cell_length_c 5.206
_cell_angle_alpha 59.96
_cell_angle_beta 80.35
_cell_angle_gamma 70.43
_symmetry_space_group_name_H-M 'P 1'
_symmetry_Int_Tables_number 1
_symmetry_space_group_name_Hall 'P 1'
loop_
_atom_site_label
_atom_site_type_symbol
_atom_site_fract_x
_atom_site_fract_y
_atom_site_fract_z
_atom_site_occupancy
N1 N 0.750 0.748 0.000 1
N2 N 0.253 0.916 0.665 1
N3 N 0.253 0.581 0.335 1
N4 N 0.250 0.252 0.000 1
N5 N 0.747 0.419 0.665 1
N6 N 0.747 0.084 0.335 1
Ti1 Ti 0.000 0.333 0.334 1
Ti2 Ti 0.500 0.162 0.675 1
Ti3 Ti 0.000 0.667 0.666 1
Ti4 Ti 0.500 0.500 0.000 1
Ti5 Ti 0.500 0.838 0.325 1
Mn1 Mn 0.000 0.000 0.000 1
```

=====

No. 7
A geometry-optimized Ti3MnN structure, computed with GGA-PBE.

Formation energy without anion corrections (eV per atom): -0.65
Crystal system: cubic
Density (Mg/m³): 5.3
Space-group type: Pm-3m
Electronic total energy (Ry/atom): -0.653

The structure in CIF format:
```
data_Ti3MnN
_chemical_formula_sum 'Ti3 Mn1 N1'
_cell_length_a 4.064
_cell_length_b 4.064
_cell_length_c 4.064
_cell_angle_alpha 90.00
_cell_angle_beta 90.00
_cell_angle_gamma 90.00
_symmetry_space_group_name_H-M 'P 1'
_symmetry_Int_Tables_number 1
_symmetry_space_group_name_Hall 'P 1'
loop_
_atom_site_label
_atom_site_type_symbol
_atom_site_fract_x
_atom_site_fract_y
_atom_site_fract_z
_atom_site_occupancy
Ti1 Ti 0.000 0.500 0.000 1
Ti2 Ti 0.500 0.000 0.000 1
Ti3 Ti 0.000 0.000 0.500 1
Mn1 Mn 0.500 0.500 0.500 1
N1 N 0.000 0.000 0.000 1
```

=====

No. 8
A geometry-optimized Ti3Mn5N12 structure, computed with GGA-PBE.

Formation energy without anion corrections (eV per atom): -0.30
Crystal system: cubic
Density (Mg/m³): 5.0
Space-group type: Ia-3d
Electronic total energy (Ry/atom): -0.645

The structure in CIF format:
```
data_Ti3Mn5N12
_chemical_formula_sum 'Ti12 Mn20 N48'
_cell_length_a 10.055
_cell_length_b 10.055
_cell_length_c 10.055
_cell_angle_alpha 109.47
_cell_angle_beta 109.47
_cell_angle_gamma 109.47
_symmetry_space_group_name_H-M 'P 1'
_symmetry_Int_Tables_number 1
_symmetry_space_group_name_Hall 'P 1'
loop_
_atom_site_label
_atom_site_type_symbol
_atom_site_fract_x
_atom_site_fract_y
_atom_site_fract_z
_atom_site_occupancy
Mn1 Mn 0.500 0.000 0.000 1
Mn2 Mn 0.625 0.750 0.875 1
Mn3 Mn 0.750 0.625 0.375 1
Mn4 Mn 0.500 0.500 0.000 1
Mn5 Mn 0.000 0.500 0.500 1
Mn6 Mn 0.125 0.750 0.375 1
Mn7 Mn 0.125 0.375 0.250 1
Mn8 Mn 0.625 0.875 0.250 1
Mn9 Mn 0.500 0.500 0.500 1
Mn10 Mn 0.000 0.000 0.000 1
Mn11 Mn 0.750 0.125 0.875 1
Mn12 Mn 0.375 0.250 0.125 1
Mn13 Mn 0.250 0.375 0.625 1
Mn14 Mn 0.500 0.000 0.500 1
Mn15 Mn 0.250 0.875 0.125 1
Mn16 Mn 0.875 0.625 0.750 1
Mn17 Mn 0.000 0.000 0.500 1
Mn18 Mn 0.375 0.125 0.750 1
Mn19 Mn 0.875 0.250 0.625 1
Mn20 Mn 0.000 0.500 0.000 1
N1 N 0.092 0.909 0.376 1
N2 N 0.317 0.532 0.409 1
N3 N 0.183 0.091 0.968 1
N4 N 0.408 0.124 0.591 1
N5 N 0.591 0.624 0.408 1
N6 N 0.532 0.215 0.124 1
N7 N 0.124 0.408 0.091 1
N8 N 0.683 0.215 0.592 1
N9 N 0.968 0.376 0.285 1
N10 N 0.909 0.092 0.876 1
N11 N 0.876 0.592 0.909 1
N12 N 0.124 0.715 0.532 1
N13 N 0.468 0.785 0.876 1
N14 N 0.785 0.317 0.908 1
N15 N 0.183 0.092 0.715 1
N16 N 0.785 0.468 0.376 1
N17 N 0.317 0.785 0.408 1
N18 N 0.908 0.091 0.624 1
N19 N 0.468 0.683 0.091 1
N20 N 0.532 0.317 0.909 1
N21 N 0.715 0.124 0.032 1
N22 N 0.909 0.817 0.532 1
N23 N 0.032 0.624 0.715 1
N24 N 0.409 0.032 0.317 1
N25 N 0.591 0.968 0.683 1
N26 N 0.683 0.468 0.591 1
N27 N 0.817 0.909 0.032 1
N28 N 0.285 0.876 0.968 1
N29 N 0.092 0.183 0.215 1
N30 N 0.032 0.409 0.817 1
N31 N 0.091 0.183 0.468 1
N32 N 0.624 0.591 0.908 1
N33 N 0.715 0.592 0.183 1
N34 N 0.285 0.408 0.817 1
N35 N 0.376 0.409 0.092 1
N36 N 0.409 0.376 0.592 1
N37 N 0.592 0.715 0.683 1
N38 N 0.624 0.032 0.215 1
N39 N 0.091 0.908 0.124 1
N40 N 0.215 0.532 0.624 1
N41 N 0.876 0.285 0.468 1
N42 N 0.817 0.908 0.285 1
N43 N 0.408 0.285 0.317 1
N44 N 0.968 0.591 0.183 1
N45 N 0.215 0.683 0.092 1
N46 N 0.592 0.876 0.409 1
N47 N 0.908 0.817 0.785 1
N48 N 0.376 0.968 0.785 1
Ti1 Ti 0.250 0.125 0.375 1
Ti2 Ti 0.125 0.250 0.875 1
Ti3 Ti 0.875 0.750 0.125 1
Ti4 Ti 0.875 0.125 0.250 1
Ti5 Ti 0.750 0.875 0.625 1
Ti6 Ti 0.125 0.875 0.750 1
Ti7 Ti 0.250 0.625 0.875 1
Ti8 Ti 0.750 0.375 0.125 1
Ti9 Ti 0.625 0.375 0.750 1
Ti10 Ti 0.375 0.750 0.625 1
Ti11 Ti 0.625 0.250 0.375 1
Ti12 Ti 0.375 0.625 0.250 1
```